ThVFe2O6 | PBE with a Hubbard U | relaxed

a = 5.394 Å, b = 5.468 Å, c = 5.750 Å
α = 61.70°, β = 89.89°, γ = 60.83°
Positions (direct):
Th 0.000 0.000 0.000
V 0.491 0.018 0.468
Fe 0.277 0.444 0.848
Fe 0.786 0.430 0.367
O 0.103 0.482 0.194
O 0.247 0.913 0.658
O 0.421 0.919 0.189
O 0.594 0.202 0.660
O 0.654 0.240 0.181
O 0.875 0.569 0.659

Computed properties:
Calculated volume in Å³/atom: 12.4
VASP energy in eV/atom: -7.79